No. 1
Cs4Ag3AsBr12: relaxed, PBE.

Summary:
Final energy, eV per atom: -2.783
E_form (uncorrected), meV per atom: -948.0
Fermi-level density of states, states/eV/cell: 5.61
Size of the total moment, μB/atom: 0.0000

abc: 9.561 9.561 9.561
angles: 109.47 109.47 109.47
Fractional coordinates of all 20 atoms:
Br 0.240 0.000 0.240
Br 0.240 0.240 0.000
Br 0.750 0.500 0.250
Br 0.500 0.750 0.250
Br 0.000 0.760 0.760
Br 0.250 0.500 0.750
Br 0.500 0.250 0.750
Br 0.760 0.000 0.760
Br 0.000 0.240 0.240
Br 0.250 0.750 0.500
Br 0.760 0.760 0.000
Br 0.750 0.250 0.500
Ag 0.500 0.000 0.500
Ag 0.000 0.500 0.500
Ag 0.500 0.500 0.000
Cs 0.000 0.500 0.000
Cs 0.500 0.500 0.500
Cs 0.000 0.000 0.500
Cs 0.500 0.000 0.000
As 0.000 0.000 0.000

---

No. 2
Si2NiCl: relaxed, PBE.

Summary:
Final energy, eV per atom: -4.431
Energy above the lowest structure with this stoichiometry, eV per formula unit: 2.05
E_form (uncorrected), meV per atom: 187.6
Fermi-level density of states, states/eV/cell: 5.10
Size of the total moment, μB/atom: 0.0000

abc: 5.483 5.483 6.931
angles: 66.70 66.70 90.00
Fractional coordinates of all 8 atoms:
Cl 0.250 0.750 0.500
Cl 0.500 0.500 0.000
Ni 0.750 0.250 0.500
Ni 0.000 0.000 0.000
Si 0.024 0.625 0.250
Si 0.726 0.125 0.250
Si 0.375 0.274 0.750
Si 0.875 0.976 0.750

---

No. 3
Pm3Sn2Ge2: relaxed, PBE.

Summary:
Final energy, eV per atom: -5.173
Energy above the lowest structure with this stoichiometry, eV per formula unit: 0.00
Formation enthalpy at 0 K, eV per formula unit: -4.72
Fermi-level density of states, states/eV/cell: 2.87
Size of the total moment, μB/atom: 0.0000

abc: 4.367 4.462 10.054
angles: 102.82 102.54 90.00
Fractional coordinates of all 7 atoms:
Pm 0.323 0.823 0.646
Pm 0.000 0.000 0.000
Pm 0.677 0.177 0.354
Sn 0.156 0.656 0.313
Sn 0.844 0.344 0.687
Ge 0.564 0.564 0.128
Ge 0.436 0.436 0.872

---

No. 4
Tb3Pr2NdHo6: relaxed, PBE.

Summary:
Final energy, eV per atom: -4.623
Formation enthalpy at 0 K, eV per formula unit: 0.21
Fermi-level density of states, states/eV/cell: 14.87
Size of the total moment, μB/atom: 0.0000

abc: 6.206 6.206 11.799
angles: 95.01 95.01 119.97
Fractional coordinates of all 12 atoms:
Pr 0.333 0.667 0.000
Pr 0.667 0.333 0.000
Tb 0.500 0.500 0.500
Tb 0.167 0.833 0.500
Tb 0.833 0.167 0.500
Ho 0.248 0.248 0.746
Ho 0.582 0.915 0.746
Ho 0.418 0.085 0.254
Ho 0.752 0.752 0.254
Ho 0.085 0.418 0.254
Ho 0.915 0.582 0.746
Nd 0.000 0.000 0.000

---

No. 5
SrCa4Tl: relaxed, PBE.

Summary:
Final energy, eV per atom: -1.992
Energy above the lowest structure with this stoichiometry, eV per formula unit: 0.95
Formation enthalpy at 0 K, eV per formula unit: 0.10
Fermi-level density of states, states/eV/cell: 16.52
Size of the total moment, μB/atom: 0.0000

abc: 7.419 7.363 12.222
angles: 126.99 90.00 90.00
Fractional coordinates of all 12 atoms:
Ca 0.182 0.494 0.813
Ca 0.318 0.369 0.188
Ca 0.818 0.131 0.812
Ca 0.682 0.631 0.812
Ca 0.682 0.006 0.187
Ca 0.818 0.506 0.187
Ca 0.182 0.869 0.188
Ca 0.318 0.994 0.813
Tl 0.000 0.000 0.000
Tl 0.500 0.500 0.000
Sr 0.000 0.500 0.500
Sr 0.500 0.000 0.500

---

No. 6
Dy7Co6Sn23: relaxed, PBE.

Summary:
Final energy, eV per atom: -5.051
Formation enthalpy at 0 K, eV per formula unit: -14.94
Fermi-level density of states, states/eV/cell: 12.14
Size of the total moment, μB/atom: 0.0000

abc: 9.708 9.708 9.923
angles: 90.00 90.00 120.00
Fractional coordinates of all 36 atoms:
Sn 0.333 0.667 0.820
Sn 0.883 0.766 0.727
Sn 0.000 0.347 0.000
Sn 0.234 0.117 0.727
Sn 0.218 0.782 0.547
Sn 0.347 0.347 0.000
Sn 0.766 0.883 0.273
Sn 0.782 0.564 0.453
Sn 0.883 0.117 0.727
Sn 0.218 0.436 0.547
Sn 0.653 0.000 0.000
Sn 0.333 0.667 0.115
Sn 0.000 0.653 0.000
Sn 0.653 0.653 0.000
Sn 0.117 0.234 0.273
Sn 0.000 0.000 0.500
Sn 0.117 0.883 0.273
Sn 0.782 0.218 0.453
Sn 0.347 0.000 0.000
Sn 0.564 0.782 0.547
Sn 0.667 0.333 0.885
Sn 0.436 0.218 0.453
Sn 0.667 0.333 0.180
Co 0.664 0.832 0.802
Co 0.168 0.832 0.802
Co 0.832 0.664 0.198
Co 0.832 0.168 0.198
Co 0.168 0.336 0.802
Co 0.336 0.168 0.198
Dy 0.522 0.478 0.693
Dy 0.522 0.043 0.693
Dy 0.478 0.957 0.307
Dy 0.478 0.522 0.307
Dy 0.043 0.522 0.307
Dy 0.957 0.478 0.693
Dy 0.000 0.000 0.000

---

No. 7
Ca2TaAu: relaxed, PBE.

Summary:
Final energy, eV per atom: -4.402
Energy above the lowest structure with this stoichiometry, eV per formula unit: 1.02
Formation enthalpy at 0 K, eV per formula unit: 1.53
Fermi-level density of states, states/eV/cell: 4.16
Size of the total moment, μB/atom: 0.4239

abc: 6.081 6.081 5.140
angles: 65.10 65.10 33.73
Fractional coordinates of all 4 atoms:
Ca 0.971 0.971 0.029
Ca 0.529 0.529 0.471
Au 0.250 0.250 0.250
Ta 0.750 0.750 0.750

---

No. 8
PaAu2F8: relaxed, PBE.

Summary:
Final energy, eV per atom: -5.052
E_form (uncorrected), meV per atom: -2231.4
Fermi-level density of states, states/eV/cell: 0.46
Size of the total moment, μB/atom: 0.0924

abc: 6.854 6.854 6.006
angles: 110.54 92.45 130.94
Fractional coordinates of all 11 atoms:
F 0.031 0.277 0.866
F 0.590 0.835 0.866
F 0.568 0.705 0.273
F 0.432 0.295 0.727
F 0.969 0.723 0.134
F 0.927 0.722 0.649
F 0.073 0.278 0.351
F 0.410 0.165 0.134
Au 0.396 0.849 0.245
Au 0.604 0.151 0.755
Pa 0.000 0.000 0.000

---

No. 9
PrScNi2: relaxed, PBE.

Summary:
Final energy, eV per atom: -5.933
Energy above the lowest structure with this stoichiometry, eV per formula unit: 0.22
Formation enthalpy at 0 K, eV per formula unit: -1.06
Fermi-level density of states, states/eV/cell: 5.41
Size of the total moment, μB/atom: 0.0000

abc: 4.753 4.753 4.753
angles: 60.00 60.00 60.00
Fractional coordinates of all 4 atoms:
Sc 0.000 0.000 0.000
Pr 0.500 0.500 0.500
Ni 0.250 0.250 0.250
Ni 0.750 0.750 0.750

---

No. 10
Y2GaNi2: relaxed, PBE.

Summary:
Final energy, eV per atom: -5.786
Formation enthalpy at 0 K, eV per formula unit: -1.41
Fermi-level density of states, states/eV/cell: 5.30
Size of the total moment, μB/atom: 0.0000

abc: 3.454 3.454 8.747
angles: 78.61 78.61 90.00
Fractional coordinates of all 5 atoms:
Y 0.383 0.383 0.235
Y 0.617 0.617 0.765
Ni 0.750 0.250 0.500
Ni 0.250 0.750 0.500
Ga 0.000 0.000 0.000

---

No. 11
Ac2Mg3Ir2: relaxed, PBE.

Summary:
Final energy, eV per atom: -4.852
Formation enthalpy at 0 K, eV per formula unit: -3.24
Fermi-level density of states, states/eV/cell: 3.69
Size of the total moment, μB/atom: 0.0000

abc: 4.335 5.881 7.900
angles: 112.17 90.00 111.62
Fractional coordinates of all 7 atoms:
Mg 0.648 0.296 0.433
Mg 0.500 0.000 0.000
Mg 0.352 0.704 0.567
Ir 0.852 0.705 0.801
Ir 0.148 0.295 0.199
Ac 0.142 0.284 0.782
Ac 0.858 0.716 0.218

---

No. 12
Ti6ZnNi: relaxed, PBE.

Summary:
Final energy, eV per atom: -6.886
Energy above the lowest structure with this stoichiometry, eV per formula unit: 0.00
Formation enthalpy at 0 K, eV per formula unit: -0.66
Fermi-level density of states, states/eV/cell: 13.78
Size of the total moment, μB/atom: 0.0002

abc: 3.978 3.978 7.971
angles: 90.00 90.00 90.00
Fractional coordinates of all 8 atoms:
Ti 0.500 0.500 0.000
Ti 0.500 0.000 0.256
Ti 0.000 0.500 0.744
Ti 0.000 0.500 0.256
Ti 0.500 0.500 0.500
Ti 0.500 0.000 0.744
Zn 0.000 0.000 0.000
Ni 0.000 0.000 0.500